Entry 1:
! DyAg5Au6 (PBE, optimized geometry); values from VASP
&SYSTEM
  ibrav = 0, nat = 12, ntyp = 3
/
ATOMIC_SPECIES
Dy 162.50 Dy.upf
Ag 107.87 Ag.upf
Au 196.97 Au.upf
CELL_PARAMETERS angstrom
-3.391 2.342 1.174
-2.233 0.680 -7.807
-0.710 -6.880 3.857
ATOMIC_POSITIONS crystal
Dy 0.000 0.000 0.000
Ag 0.671 0.171 0.343
Au 0.167 0.917 0.335
Au 0.833 0.083 0.665
Ag 0.333 0.333 0.667
Au 0.500 0.252 0.000
Au 0.832 0.582 0.665
Ag 0.667 0.667 0.333
Au 0.500 0.748 0.000
Au 0.168 0.418 0.335
Ag 0.000 0.500 0.000
Ag 0.329 0.829 0.657
! Calculated density: 13903 kg/m³
! ΔH_f (0 K): -0.211 eV per atom
! Total magnetic moment: 0.00 μB per cell

***

Entry 2:
! Dy4AgAu2 (PBE, optimized geometry); values from VASP
&SYSTEM
  ibrav = 0, nat = 7, ntyp = 3
/
ATOMIC_SPECIES
Dy 162.50 Dy.upf
Au 196.97 Au.upf
Ag 107.87 Ag.upf
CELL_PARAMETERS angstrom
-4.726 -1.739 -0.159
-1.241 -3.628 -3.269
-0.065 -7.534 4.504
ATOMIC_POSITIONS crystal
Dy 0.377 0.377 0.869
Au 0.246 0.246 0.261
Dy 0.623 0.623 0.131
Ag 0.000 0.000 0.000
Dy 0.126 0.126 0.621
Dy 0.874 0.874 0.379
Au 0.754 0.754 0.739
! Calculated density: 10505 kg/m³
! Offset from the most stable computed form: 0.000 eV/atom
! ΔH_f (0 K): -0.528 eV per atom
! Total magnetic moment: 0.00 μB per cell

***

Entry 3:
! Dy3AgAu (PBE, optimized geometry); values from VASP
&SYSTEM
  ibrav = 0, nat = 10, ntyp = 3
/
ATOMIC_SPECIES
Au 196.97 Au.upf
Dy 162.50 Dy.upf
Ag 107.87 Ag.upf
CELL_PARAMETERS angstrom
-2.725 2.995 3.058
-3.176 1.017 -3.825
-6.931 -6.201 4.107
ATOMIC_POSITIONS crystal
Au 0.985 0.250 0.679
Dy 0.574 0.250 0.501
Dy 0.759 0.250 0.131
Au 0.664 0.750 0.321
Ag 0.481 0.750 0.686
Dy 0.260 0.750 0.128
Dy 0.075 0.750 0.499
Ag 0.167 0.250 0.314
Dy 0.388 0.250 0.872
Dy 0.890 0.750 0.869
! Calculated density: 10380 kg/m³
! Offset from the most stable computed form: 0.000 eV/atom
! ΔH_f (0 K): -0.460 eV per atom
! Total magnetic moment: 0.03 μB per cell

***

Entry 4:
! DyAg2Au6 (PBE, optimized geometry); values from VASP
&SYSTEM
  ibrav = 0, nat = 18, ntyp = 3
/
ATOMIC_SPECIES
Ag 107.87 Ag.upf
Au 196.97 Au.upf
Dy 162.50 Dy.upf
CELL_PARAMETERS angstrom
-4.052 -1.303 -2.871
-0.337 -8.148 2.162
-5.685 -0.450 6.217
ATOMIC_POSITIONS crystal
Ag 0.409 0.534 0.798
Au 0.359 0.895 0.648
Au 0.537 0.326 0.563
Ag 0.091 0.202 0.466
Au 0.141 0.352 0.105
Ag 0.909 0.798 0.534
Dy 0.250 0.136 0.864
Au 0.037 0.563 0.326
Au 0.859 0.648 0.895
Au 0.641 0.105 0.352
Au 0.463 0.674 0.437
Au 0.199 0.994 0.233
Au 0.301 0.767 0.006
Au 0.801 0.006 0.767
Au 0.699 0.233 0.994
Au 0.963 0.437 0.674
Dy 0.750 0.864 0.136
Ag 0.591 0.466 0.202
! Calculated density: 14926 kg/m³
! ΔH_f (0 K): -0.274 eV per atom
! Total magnetic moment: 0.00 μB per cell

***

Entry 5:
! Dy4AgAu (PBE, optimized geometry); values from VASP
&SYSTEM
  ibrav = 0, nat = 6, ntyp = 3
/
ATOMIC_SPECIES
Dy 162.50 Dy.upf
Ag 107.87 Ag.upf
Au 196.97 Au.upf
CELL_PARAMETERS angstrom
4.998 0.000 -0.002
0.000 4.998 -0.003
0.003 0.004 7.048
ATOMIC_POSITIONS crystal
Dy 0.501 0.997 0.253
Dy 0.501 0.998 0.743
Dy 0.001 0.498 0.743
Ag 0.501 0.497 0.998
Au 0.001 0.997 0.498
Dy 0.001 0.497 0.253
! Calculated density: 9007 kg/m³
! ΔH_f (0 K): -0.204 eV per atom
! Total magnetic moment: 0.00 μB per cell

***

Entry 6:
! DyAgAu (PBE, optimized geometry); values from VASP
&SYSTEM
  ibrav = 0, nat = 3, ntyp = 3
/
ATOMIC_SPECIES
Ag 107.87 Ag.upf
Au 196.97 Au.upf
Dy 162.50 Dy.upf
CELL_PARAMETERS angstrom
-1.726 4.395 0.327
-1.068 1.813 4.239
2.661 3.458 1.834
ATOMIC_POSITIONS crystal
Ag 0.500 0.500 0.500
Au 0.250 0.250 0.250
Dy 0.000 0.000 0.000
! Calculated density: 10351 kg/m³
! Offset from the most stable computed form: 0.166 eV/atom
! ΔH_f (0 K): -0.449 eV per atom
! Total magnetic moment: 0.00 μB per cell

***

Entry 7:
! Dy4AgAu3 (PBE, optimized geometry); values from VASP
&SYSTEM
  ibrav = 0, nat = 16, ntyp = 3
/
ATOMIC_SPECIES
Au 196.97 Au.upf
Ag 107.87 Ag.upf
Dy 162.50 Dy.upf
CELL_PARAMETERS angstrom
-2.831 0.001 -4.261
0.527 -7.132 -0.352
-8.487 -0.906 5.639
ATOMIC_POSITIONS crystal
Au 0.500 0.500 0.750
Ag 0.000 0.500 0.500
Dy 0.500 0.248 0.500
Dy 0.000 0.752 0.750
Ag 0.000 0.500 0.000
Au 0.500 0.000 0.250
Dy 0.000 0.752 0.250
Dy 0.000 0.248 0.750
Au 0.000 0.000 0.000
Dy 0.000 0.248 0.250
Au 0.000 0.000 0.500
Dy 0.500 0.752 0.500
Au 0.500 0.500 0.250
Dy 0.500 0.248 0.000
Dy 0.500 0.752 0.000
Au 0.500 0.000 0.750
! Calculated density: 11955 kg/m³
! Offset from the most stable computed form: 0.004 eV/atom
! ΔH_f (0 K): -0.730 eV per atom
! Total magnetic moment: 0.00 μB per cell

***

Entry 8:
! DyAg2Au2 (PBE, optimized geometry); values from VASP
&SYSTEM
  ibrav = 0, nat = 5, ntyp = 3
/
ATOMIC_SPECIES
Ag 107.87 Ag.upf
Au 196.97 Au.upf
Dy 162.50 Dy.upf
CELL_PARAMETERS angstrom
0.319 -0.348 3.898
3.893 -0.378 -0.351
-1.374 7.189 -1.208
ATOMIC_POSITIONS crystal
Ag 0.750 0.250 0.500
Au 0.401 0.401 0.801
Ag 0.250 0.750 0.500
Dy 0.000 0.000 0.000
Au 0.599 0.599 0.199
! Calculated density: 12072 kg/m³
! Offset from the most stable computed form: 0.000 eV/atom
! ΔH_f (0 K): -0.381 eV per atom
! Total magnetic moment: 0.00 μB per cell

***

Entry 9:
! Dy3Ag2Au8 (PBE, optimized geometry); values from VASP
&SYSTEM
  ibrav = 0, nat = 13, ntyp = 3
/
ATOMIC_SPECIES
Au 196.97 Au.upf
Ag 107.87 Ag.upf
Dy 162.50 Dy.upf
CELL_PARAMETERS angstrom
5.484 0.000 0.000
2.742 4.750 0.000
2.742 1.583 10.760
ATOMIC_POSITIONS crystal
Au 0.772 0.271 0.686
Au 0.729 0.228 0.314
Ag 0.636 0.636 0.091
Au 0.228 0.729 0.314
Au 0.271 0.772 0.686
Au 0.271 0.271 0.686
Dy 0.000 0.000 0.000
Au 0.281 0.281 0.156
Dy 0.190 0.190 0.430
Au 0.719 0.719 0.844
Au 0.729 0.729 0.314
Dy 0.810 0.810 0.570
Ag 0.364 0.364 0.909
! Calculated density: 13502 kg/m³
! ΔH_f (0 K): -0.381 eV per atom
! Total magnetic moment: 0.00 μB per cell

***

Entry 10:
! Dy2AgAu (PBE, optimized geometry); values from VASP
&SYSTEM
  ibrav = 0, nat = 4, ntyp = 3
/
ATOMIC_SPECIES
Ag 107.87 Ag.upf
Dy 162.50 Dy.upf
Au 196.97 Au.upf
CELL_PARAMETERS angstrom
5.110 0.000 0.000
2.555 4.425 0.000
2.555 1.475 4.172
ATOMIC_POSITIONS crystal
Ag 0.250 0.250 0.250
Dy 0.000 0.000 0.000
Dy 0.500 0.500 0.500
Au 0.750 0.750 0.750
! Calculated density: 11086 kg/m³
! ΔH_f (0 K): -0.591 eV per atom
! Total magnetic moment: 0.00 μB per cell

***

Entry 11:
! Dy4AgAu2 (PBE, optimized geometry); values from VASP
&SYSTEM
  ibrav = 0, nat = 7, ntyp = 3
/
ATOMIC_SPECIES
Au 196.97 Au.upf
Dy 162.50 Dy.upf
Ag 107.87 Ag.upf
CELL_PARAMETERS angstrom
4.829 0.000 0.000
2.415 4.182 0.000
2.415 1.394 9.529
ATOMIC_POSITIONS crystal
Au 0.401 0.401 0.797
Dy 0.297 0.297 0.109
Dy 0.703 0.703 0.891
Dy 0.117 0.117 0.648
Ag 0.500 0.500 0.500
Dy 0.883 0.883 0.352
Au 0.599 0.599 0.203
! Calculated density: 9938 kg/m³
! Offset from the most stable computed form: 0.107 eV/atom
! ΔH_f (0 K): -0.421 eV per atom
! Total magnetic moment: 0.00 μB per cell

***

Entry 12:
! Dy4AgAu3 (PBE, optimized geometry); values from VASP
&SYSTEM
  ibrav = 0, nat = 8, ntyp = 3
/
ATOMIC_SPECIES
Dy 162.50 Dy.upf
Au 196.97 Au.upf
Ag 107.87 Ag.upf
CELL_PARAMETERS angstrom
-2.522 1.370 2.347
-3.448 -1.297 -2.949
-0.629 -9.799 5.046
ATOMIC_POSITIONS crystal
Dy 0.500 0.500 0.364
Au 0.500 0.000 0.915
Dy 0.000 0.500 0.858
Au 0.000 0.000 0.412
Dy 0.000 0.000 0.140
Au 0.000 0.500 0.588
Dy 0.500 0.000 0.639
Ag 0.500 0.500 0.085
! Calculated density: 11595 kg/m³
! Offset from the most stable computed form: 0.000 eV/atom
! ΔH_f (0 K): -0.734 eV per atom
! Total magnetic moment: 0.00 μB per cell